Below is a relaxed CeScInTc crystal, with properties calculated at the PBE level.

Values from the calculation:
Mass density = 7.54 Mg/m³
Energy of formation from the pure elements = -0.5 eV per formula unit
DFT total energy = -6.474 eV/atom

Geometry as CIF:
```
data_CeScInTc
_cell_length_a 7.051
_cell_length_b 7.051
_cell_length_c 7.051
_cell_angle_alpha 90.00
_cell_angle_beta 90.00
_cell_angle_gamma 90.00
_space_group_name_H-M_alt 'F -4 3 m'
_space_group_IT_number 216
_space_group_name_Hall 'F -4 2 3'
loop_
_atom_site_label
_atom_site_type_symbol
_atom_site_fract_x
_atom_site_fract_y
_atom_site_fract_z
_atom_site_occupancy
Ce1 Ce 0.000 0.000 0.000 1
Sc1 Sc 0.000 0.000 0.500 1
In1 In 0.250 0.250 0.250 1
Tc1 Tc 0.250 0.250 0.750 1
```



Below is a relaxed Y2Ti2In crystal, with properties calculated at the PBE level.

Values from the calculation:
Mass density = 5.32 Mg/m³
Energy of formation from the pure elements = 0.0 eV per formula unit
DFT total energy = -6.282 eV/atom

Geometry as CIF:
```
data_Y2Ti2In
_cell_length_a 7.399
_cell_length_b 7.399
_cell_length_c 4.424
_cell_angle_alpha 90.00
_cell_angle_beta 90.00
_cell_angle_gamma 90.00
_space_group_name_H-M_alt 'P 4/m b m'
_space_group_IT_number 127
_space_group_name_Hall '-P 4 2ab'
loop_
_atom_site_label
_atom_site_type_symbol
_atom_site_fract_x
_atom_site_fract_y
_atom_site_fract_z
_atom_site_occupancy
Y1 Y 0.164 0.336 0.000 1
Ti1 Ti 0.130 0.630 0.500 1
In1 In 0.000 0.000 0.500 1
```



Below is a relaxed ScSiRu2 crystal, with properties calculated at the PBE level.

Values from the calculation:
Mass density = 7.55 Mg/m³
DFT total energy = -8.028 eV/atom
Uncorrected formation energy = -0.452 eV per atom

Geometry as CIF:
```
data_ScSiRu2
_cell_length_a 2.944
_cell_length_b 4.414
_cell_length_c 4.829
_cell_angle_alpha 90.00
_cell_angle_beta 105.46
_cell_angle_gamma 90.00
_space_group_name_H-M_alt 'P 1 m 1'
_space_group_IT_number 6
_space_group_name_Hall 'P -2y'
loop_
_atom_site_label
_atom_site_type_symbol
_atom_site_fract_x
_atom_site_fract_y
_atom_site_fract_z
_atom_site_occupancy
Sc1 Sc 0.000 0.000 0.000 1
Si1 Si 0.578 0.500 0.236 1
Ru1 Ru 0.259 0.500 0.683 1
Ru2 Ru 0.631 0.000 0.483 1
```



Below is a relaxed NaHo2In9 crystal, with properties calculated at the PBE level.

Values from the calculation:
Mass density = 7.62 Mg/m³
Energy of formation from the pure elements = -3.4 eV per formula unit
DFT total energy = -3.208 eV/atom

Geometry as CIF:
```
data_NaHo2In9
_cell_length_a 4.634
_cell_length_b 4.634
_cell_length_c 14.058
_cell_angle_alpha 90.00
_cell_angle_beta 90.00
_cell_angle_gamma 90.00
_space_group_name_H-M_alt 'P 4/m m m'
_space_group_IT_number 123
_space_group_name_Hall '-P 4 2'
loop_
_atom_site_label
_atom_site_type_symbol
_atom_site_fract_x
_atom_site_fract_y
_atom_site_fract_z
_atom_site_occupancy
Na1 Na 0.000 0.000 0.000 1
Ho1 Ho 0.000 0.000 0.336 1
In1 In 0.000 0.500 0.167 1
In2 In 0.000 0.500 0.500 1
In3 In 0.500 0.500 0.000 1
In4 In 0.500 0.500 0.335 1
```



Below is a relaxed Er2Np2S7 crystal, with properties calculated at the PBE level.

Values from the calculation:
Mass density = 7.49 Mg/m³
DFT total energy = -7.394 eV/atom
Uncorrected formation energy = -1.585 eV per atom

Geometry as CIF:
```
data_Er2Np2S7
_cell_length_a 3.889
_cell_length_b 13.870
_cell_length_c 8.491
_cell_angle_alpha 90.00
_cell_angle_beta 90.00
_cell_angle_gamma 90.00
_space_group_name_H-M_alt 'I m m 2'
_space_group_IT_number 44
_space_group_name_Hall 'I 2 -2'
loop_
_atom_site_label
_atom_site_type_symbol
_atom_site_fract_x
_atom_site_fract_y
_atom_site_fract_z
_atom_site_occupancy
Er1 Er 0.000 0.000 0.000 1
Er2 Er 0.000 0.500 0.036 1
Np1 Np 0.000 0.257 0.796 1
S1 S 0.000 0.139 0.490 1
S2 S 0.000 0.185 0.101 1
S3 S 0.000 0.390 0.316 1
S4 S 0.000 0.500 0.719 1
```



Below is a relaxed Tb6TlTe3As2 crystal, with properties calculated at the PBE level.

Values from the calculation:
Mass density = 8.26 Mg/m³
DFT total energy = -5.340 eV/atom
Uncorrected formation energy = -1.268 eV per atom

Geometry as CIF:
```
data_Tb6TlTe3As2
_cell_length_a 18.857
_cell_length_b 4.239
_cell_length_c 8.761
_cell_angle_alpha 90.00
_cell_angle_beta 104.01
_cell_angle_gamma 90.00
_space_group_name_H-M_alt 'C 1 2/m 1'
_space_group_IT_number 12
_space_group_name_Hall '-C 2y'
loop_
_atom_site_label
_atom_site_type_symbol
_atom_site_fract_x
_atom_site_fract_y
_atom_site_fract_z
_atom_site_occupancy
Tb1 Tb 0.008 0.000 0.251 1
Tb2 Tb 0.166 0.500 0.105 1
Tb3 Tb 0.174 0.500 0.567 1
Tl1 Tl 0.000 0.500 0.000 1
Te1 Te 0.000 0.500 0.500 1
Te2 Te 0.166 0.000 0.832 1
As1 As 0.168 0.000 0.337 1
```



Number 1: density of states at the Fermi level 13.49 states/eV/cell. Number 2: density of states at the Fermi level 13.38 states/eV/cell. Number 3: density of states at the Fermi level 3.02 states/eV/cell. Number 4: density of states at the Fermi level 4.41 states/eV/cell. Number 5: density of states at the Fermi level 37.72 states/eV/cell. Number 6: density of states at the Fermi level 7.38 states/eV/cell.